Material: Pm12Os3N5
Method: DFT, PBE-GGA
State: relaxed

Cell lengths 13.5002, 13.5002, 13.5002 Å; angles 109.47, 109.47, 109.47 degrees
Sites, in units of the cell vectors:
Pm (0.0265, 0.2067, 0.1224)
Pm (0.0265, 0.3198, 0.9041)
Pm (0.0843, 0.7067, 0.6802)
Pm (0.0843, 0.8776, 0.4041)
Pm (0.0959, 0.6224, 0.4157)
Pm (0.0959, 0.9735, 0.6802)
Pm (0.1224, 0.0265, 0.2067)
Pm (0.1224, 0.5959, 0.9157)
Pm (0.1802, 0.2067, 0.5843)
Pm (0.1802, 0.4735, 0.5959)
Pm (0.2067, 0.1224, 0.0265)
Pm (0.2067, 0.5843, 0.1802)
Pm (0.2933, 0.3198, 0.9157)
Pm (0.2933, 0.4735, 0.3776)
Pm (0.3198, 0.9041, 0.0265)
Pm (0.3198, 0.9157, 0.2933)
Pm (0.3776, 0.2933, 0.4735)
Pm (0.3776, 0.5843, 0.9041)
Pm (0.4041, 0.0843, 0.8776)
Pm (0.4041, 0.8198, 0.5265)
Pm (0.4157, 0.0959, 0.6224)
Pm (0.4157, 0.8198, 0.7933)
Pm (0.4735, 0.3776, 0.2933)
Pm (0.4735, 0.5959, 0.1802)
Pm (0.5265, 0.4041, 0.8198)
Pm (0.5265, 0.6224, 0.7067)
Pm (0.5843, 0.1802, 0.2067)
Pm (0.5843, 0.9041, 0.3776)
Pm (0.5959, 0.1802, 0.4735)
Pm (0.5959, 0.9157, 0.1224)
Pm (0.6224, 0.4157, 0.0959)
Pm (0.6224, 0.7067, 0.5265)
Pm (0.6802, 0.0843, 0.7067)
Pm (0.6802, 0.0959, 0.9735)
Pm (0.7067, 0.5265, 0.6224)
Pm (0.7067, 0.6802, 0.0843)
Pm (0.7933, 0.4157, 0.8198)
Pm (0.7933, 0.8776, 0.9735)
Pm (0.8198, 0.5265, 0.4041)
Pm (0.8198, 0.7933, 0.4157)
Pm (0.8776, 0.4041, 0.0843)
Pm (0.8776, 0.9735, 0.7933)
Pm (0.9041, 0.0265, 0.3198)
Pm (0.9041, 0.3776, 0.5843)
Pm (0.9157, 0.1224, 0.5959)
Pm (0.9157, 0.2933, 0.3198)
Pm (0.9735, 0.6802, 0.0959)
Pm (0.9735, 0.7933, 0.8776)
Os (0.1250, 0.2500, 0.3750)
Os (0.1250, 0.3750, 0.7500)
Os (0.2500, 0.3750, 0.1250)
Os (0.2500, 0.8750, 0.6250)
Os (0.3750, 0.1250, 0.2500)
Os (0.3750, 0.7500, 0.1250)
Os (0.6250, 0.2500, 0.8750)
Os (0.6250, 0.8750, 0.7500)
Os (0.7500, 0.1250, 0.3750)
Os (0.7500, 0.6250, 0.8750)
Os (0.8750, 0.6250, 0.2500)
Os (0.8750, 0.7500, 0.6250)
N (0.0000, 0.0000, 0.0000)
N (0.0000, 0.0000, 0.5000)
N (0.0000, 0.5000, 0.0000)
N (0.0000, 0.5000, 0.5000)
N (0.1250, 0.7500, 0.8750)
N (0.1250, 0.8750, 0.2500)
N (0.2500, 0.1250, 0.8750)
N (0.2500, 0.6250, 0.3750)
N (0.3750, 0.2500, 0.6250)
N (0.3750, 0.6250, 0.7500)
N (0.5000, 0.0000, 0.0000)
N (0.5000, 0.0000, 0.5000)
N (0.5000, 0.5000, 0.0000)
N (0.5000, 0.5000, 0.5000)
N (0.6250, 0.3750, 0.2500)
N (0.6250, 0.7500, 0.3750)
N (0.7500, 0.3750, 0.6250)
N (0.7500, 0.8750, 0.1250)
N (0.8750, 0.1250, 0.7500)
N (0.8750, 0.2500, 0.1250)

Final energy (hartree per atom): -0.266
Uncorrected formation energy (eV/atom): -0.64
Space-group type: Ia-3d (230)